# 1
Entry from Alexandria via LeMat-Bulk: crystalline Pr4CdGaAg2 at its relaxed geometry (PBE).

Lattice parameters (Å, degrees): 9.3210 9.3210 9.3210 33.45 33.45 33.45
Closest atoms and distances in Å follow each position.
Atoms (fractional coordinates):
Pr: 0.1205 0.1205 0.1205  1 Ga 3.18, 4 Ag 3.20-3.26, 3 Cd 3.33
Pr: 0.3711 0.3711 0.3711  3 Ga 3.25, 4 Ag 3.35-3.38, 1 Cd 3.40
Pr: 0.6289 0.6289 0.6289  3 Ga 3.25, 4 Ag 3.35-3.38, 1 Cd 3.40
Pr: 0.8795 0.8795 0.8795  1 Ga 3.18, 4 Ag 3.20-3.26, 3 Cd 3.33
Cd: 0.5000 0.5000 0.5000  8 Pr 3.33-3.40, 6 Ag 3.71
Ga: 0.0000 0.0000 0.0000  8 Pr 3.18-3.25
Ag: 0.2441 0.2441 0.2441  8 Pr 3.20-3.38
Ag: 0.7559 0.7559 0.7559  8 Pr 3.20-3.38

Output
The calculation puts the formation energy at -0.3342 eV per atom. The calculated volume comes out at 219.1 Å³ per cell. The calculation puts the density of states at the Fermi level at 8.29 states/eV/f.u. The total magnetic moment comes out at 0.96 Bohr magnetons per cell. The value obtained for the uncorrected energy is -31.4 eV/cell.

---

# 2
Entry from Alexandria via LeMat-Bulk: crystalline PuCdGaAg at its relaxed geometry (PBE).

Lattice parameters (Å, degrees): 4.9660 4.9660 4.9660 60.00 60.00 60.00
Closest atoms and distances in Å follow each position.
Atoms (fractional coordinates):
Pu: 0.0000 0.0000 0.0000  4 Ga 3.04, 4 Ag 3.04
Cd: 0.5000 0.5000 0.5000  4 Ag 3.04, 4 Ga 3.04
Ga: 0.2500 0.2500 0.2500  4 Cd 3.04, 4 Pu 3.04
Ag: 0.7500 0.7500 0.7500  4 Cd 3.04, 4 Pu 3.04

Output
The calculation puts the formation energy at -0.1090 eV per atom. The calculated volume comes out at 86.6 Å³ per cell. The calculation puts the density of states at the Fermi level at 10.85 states/eV/f.u. The total magnetic moment comes out at 5.63 Bohr magnetons per cell. The value obtained for the uncorrected energy is -21.6 eV/cell.

---

# 3
Entry from Alexandria via LeMat-Bulk: crystalline RbCd2GaAg at its relaxed geometry (PBE).

Lattice parameters (Å, degrees): 5.4685 5.4685 5.1409 90.00 90.00 90.00
Closest atoms and distances in Å follow each position.
Atoms (fractional coordinates):
Rb: 0.0000 0.0000 0.0000  8 Cd 3.75, 4 Ga 3.87
Cd: 0.0000 0.5000 0.5000  2 Ag 2.73
Cd: 0.5000 0.0000 0.5000  2 Ag 2.73
Ga: 0.5000 0.5000 0.0000  2 Ag 2.57
Ag: 0.5000 0.5000 0.5000  2 Ga 2.57, 4 Cd 2.73

Output
The calculation puts the formation energy at 0.0869 eV per atom. The calculated volume comes out at 153.7 Å³ per cell. The calculation puts the density of states at the Fermi level at 3.01 states/eV/f.u. The total magnetic moment comes out at 0.00 Bohr magnetons per cell. The value obtained for the uncorrected energy is -8.2 eV/cell.